First-principles (PBE) data for an optimized crystal structure of CdP2Ir, as listed in the Alexandria database.

Computed properties:
**Energy of formation from the pure elements**: 162 meV per atom
**SG**: P4/mmm, No. 123

```
CdP2Ir
1.0
2.9931 0.0000 0.0000
0.0000 2.9931 0.0000
0.0000 0.0000 7.6172
Ir P Cd
1 2 1
direct
0.5000 0.5000 0.7500 Ir
0.0000 0.0000 0.9431 P
0.0000 0.0000 0.5569 P
0.5000 0.5000 0.2500 Cd
```


First-principles (PBE) data for an optimized crystal structure of Li6SmAu2, as listed in the Alexandria database.

Computed properties:
**Energy of formation from the pure elements**: -249 meV per atom
**SG**: Immm, No. 71

```
Li6SmAu2
1.0
3.3997 0.0126 0.0120
1.6794 7.8614 -2.4926
1.6794 -2.1457 7.9631
Au Li Sm
2 6 1
direct
0.1843 0.3155 0.3155 Au
0.8157 0.6845 0.6845 Au
0.5000 0.6131 0.3869 Li
0.3156 0.0113 0.3590 Li
0.3156 0.3590 0.0113 Li
0.6844 0.6410 0.9887 Li
0.6844 0.9887 0.6410 Li
0.5000 0.3869 0.6131 Li
0.0000 0.0000 0.0000 Sm
```


| no. | uncorrected energy (eV/cell) |
| --- | --- |
| 1 | -19.95 |
| 2 | -24.99 |